(1)
The following is a PBE calculation of a relaxed CsBiB2S crystal, from Alexandria.

The crystal system is tetragonal. The energy relative to the elements, uncorrected comes out at 1723 meV per atom.

The structure belongs to space group P4/mmm (No. 123); the cell edges are 4.632, 4.632 and 6.192 Å and the angles 90.00°, 90.00° and 90.00°. The inequivalent atoms are Cs at (0.000, 0.000, 0.000), Bi at (0.500, 0.500, 0.000), B at (0.000, 0.500, 0.500) and S at (0.000, 0.000, 0.500).

=====

(2)
The following is a PBE calculation of a relaxed Tb5Pr12Th2 crystal, from Alexandria.

The crystal system is monoclinic. For the calculated formation energy, the calculation gives 165 meV per atom. The calculation puts the energy above the lowest structure with this stoichiometry at 0.30 eV/f.u.

The structure belongs to space group C2/m (No. 12); the cell edges are 18.330, 7.162 and 10.990 Å and the angles 90.00°, 111.99° and 90.00°. The inequivalent atoms are Tb at (0.000, 0.000, 0.000), Tb at (0.170, 0.500, 0.701), Tb at (0.184, 0.000, 0.665), Pr at (0.004, 0.500, 0.827), Pr at (0.041, 0.000, 0.763), Pr at (0.158, 0.245, 0.372), Pr at (0.172, 0.257, 0.053) and Th at (0.000, 0.264, 0.500).

=====

(3)
The following is a PBE calculation of a relaxed Rb2Np2PbSe6 crystal, from Alexandria.

The crystal system is monoclinic. The energy relative to the elements, uncorrected comes out at -1100 meV per atom.

The structure belongs to space group C2/m (No. 12); the cell edges are 7.349, 12.869 and 8.417 Å and the angles 90.00°, 105.69° and 90.00°. The inequivalent atoms are Rb at (0.000, 0.159, 0.000), Np at (0.000, 0.334, 0.500), Pb at (0.000, 0.000, 0.500), Se at (0.198, 0.500, 0.695) and Se at (0.238, 0.181, 0.692).

=====

(4)
The following is a PBE calculation of a relaxed CaSiTcI2 crystal, from Alexandria.

The crystal system is tetragonal. The energy relative to the elements, uncorrected comes out at 743 meV per atom.

The structure belongs to space group P4/mmm (No. 123); the cell edges are 5.288, 5.288 and 5.802 Å and the angles 90.00°, 90.00° and 90.00°. The inequivalent atoms are Ca at (0.000, 0.000, 0.000), Si at (0.500, 0.500, 0.000), Tc at (0.000, 0.000, 0.500) and I at (0.000, 0.500, 0.500).

=====

(5)
The following is a PBE calculation of a relaxed NdThRhSe crystal, from Alexandria.

The crystal system is trigonal. The energy relative to the elements, uncorrected comes out at -1210 meV per atom.

The structure belongs to space group R3m (No. 160, hexagonal axes); the cell edges are 4.0673, 4.0673 and 22.6007 Å and the angles 90.00°, 90.00° and 120.00°. The inequivalent atoms are Nd at (0.0000, 0.0000, 0.0000), Th at (0.0000, 0.0000, 0.1872), Rh at (0.0000, 0.0000, 0.5871) and Se at (0.0000, 0.0000, 0.7606).

=====

(6)
The following is a PBE calculation of a relaxed LiTiAlIn crystal, from Alexandria.

The crystal system is cubic. For the calculated formation energy, the calculation gives -86 meV per atom.

The structure belongs to space group F-43m (No. 216); the cell edges are 6.571, 6.571 and 6.571 Å and the angles 90.00°, 90.00° and 90.00°. The inequivalent atoms are Li at (0.000, 0.000, 0.000), Ti at (0.000, 0.000, 0.500), Al at (0.250, 0.250, 0.750) and In at (0.250, 0.250, 0.250).

=====

(7)
The following is a PBE calculation of a relaxed ReHg2W crystal, from Alexandria.

The crystal system is tetragonal. For the calculated formation energy, the calculation gives 1219 meV per atom. The calculation puts the energy above the lowest structure with this stoichiometry at 2.87 eV/f.u.

The structure belongs to space group P4/mmm (No. 123); the cell edges are 4.967, 4.967 and 2.887 Å and the angles 90.00°, 90.00° and 90.00°. The inequivalent atoms are Re at (0.000, 0.000, 0.000), Hg at (0.000, 0.500, 0.500) and W at (0.500, 0.500, 0.000).

=====

(8)
The following is a PBE calculation of a relaxed CeGa4PtAu2 crystal, from Alexandria.

The crystal system is trigonal. For the calculated formation energy, the calculation gives -475 meV per atom.

The structure belongs to space group R-3m (No. 166, hexagonal axes); the cell edges are 4.4274, 4.4274 and 27.1509 Å and the angles 90.00°, 90.00° and 120.00°. The inequivalent atoms are Ce at (0.0000, 0.0000, 0.0000), Ga at (0.0000, 0.0000, 0.1323), Ga at (0.0000, 0.0000, 0.4016), Pt at (0.0000, 0.0000, 0.5000) and Au at (0.0000, 0.0000, 0.2562).

=====

(9)
The following is a PBE calculation of a relaxed BaSc2In crystal, from Alexandria.

The crystal system is monoclinic. For the calculated formation energy, the calculation gives 156 meV per atom.

The structure belongs to space group C2/m (No. 12); the cell edges are 6.943, 11.440 and 3.383 Å and the angles 90.00°, 117.88° and 90.00°. The inequivalent atoms are Ba at (0.000, 0.000, 0.000), Sc at (0.250, 0.250, 0.500) and In at (0.000, 0.500, 0.000).

=====

(10)
The following is a PBE calculation of a relaxed TcPbSe2 crystal, from Alexandria.

The crystal system is orthorhombic. The energy relative to the elements, uncorrected comes out at 70 meV per atom. The calculation puts the energy above the lowest structure with this stoichiometry at 0.92 eV/f.u.

The structure belongs to space group Immm (No. 71); the cell edges are 3.360, 5.531 and 10.183 Å and the angles 90.00°, 90.00° and 90.00°. The inequivalent atoms are Tc at (0.000, 0.000, 0.000), Pb at (0.000, 0.000, 0.500) and Se at (0.000, 0.500, 0.321).

=====

(11)
The following is a PBE calculation of a relaxed SmMg4Zn2 crystal, from Alexandria.

The crystal system is orthorhombic. For the calculated formation energy, the calculation gives -166 meV per atom. The calculation puts the energy above the lowest structure with this stoichiometry at 0.00 eV/f.u.

The structure belongs to space group Cmmm (No. 65); the cell edges are 4.346, 16.691 and 4.277 Å and the angles 90.00°, 90.00° and 90.00°. The inequivalent atoms are Sm at (0.000, 0.000, 0.000), Mg at (0.000, 0.176, 0.500), Mg at (0.000, 0.321, 0.000) and Zn at (0.000, 0.427, 0.500).

=====

(12)
The following is a PBE calculation of a relaxed Pm2SiS6 crystal, from Alexandria.

The crystal system is tetragonal. The energy relative to the elements, uncorrected comes out at -959 meV per atom.

The structure belongs to space group P4_2/mnm (No. 136); the cell edges are 6.093, 6.093 and 12.066 Å and the angles 90.00°, 90.00° and 90.00°. The inequivalent atoms are Pm at (0.000, 0.000, 0.168), Si at (0.000, 0.000, 0.500), S at (0.181, 0.181, 0.362) and S at (0.233, 0.233, 0.000).

=====

(13)
The following is a PBE calculation of a relaxed TbPm2YSc crystal, from Alexandria.

The crystal system is orthorhombic. For the calculated formation energy, the calculation gives 355 meV per atom.

The structure belongs to space group Cmcm (No. 63); the cell edges are 8.179, 11.416 and 7.148 Å and the angles 90.00°, 90.00° and 90.00°. The inequivalent atoms are Tb at (0.000, 0.222, 0.250), Pm at (0.199, 0.000, 0.000), Y at (0.000, 0.246, 0.750) and Sc at (0.000, 0.482, 0.250).

=====

(14)
The following is a PBE calculation of a relaxed PrGd2N crystal, from Alexandria.

The crystal system is trigonal. The energy relative to the elements, uncorrected comes out at -667 meV per atom.

The structure belongs to space group R-3m (No. 166, hexagonal axes); the cell edges are 3.5113, 3.5113 and 29.2272 Å and the angles 90.00°, 90.00° and 120.00°. The inequivalent atoms are Pr at (0.0000, 0.0000, 0.0000), Gd at (0.0000, 0.0000, 0.1205) and N at (0.0000, 0.0000, 0.5000).

=====

(15)
The following is a PBE calculation of a relaxed DyTm2ThSc2 crystal, from Alexandria.

The crystal system is monoclinic. For the calculated formation energy, the calculation gives 178 meV per atom.

The structure belongs to space group P2_1/m (No. 11); the cell edges are 6.296, 6.726 and 8.397 Å and the angles 90.00°, 97.96° and 90.00°. The inequivalent atoms are Dy at (0.179, 0.250, 0.156), Tm at (0.306, 0.001, 0.818), Th at (0.211, 0.750, 0.177), Sc at (0.020, 0.750, 0.502) and Sc at (0.481, 0.250, 0.496).

=====

(16)
The following is a PBE calculation of a relaxed Ba2MnCo crystal, from Alexandria.

The crystal system is tetragonal. For the calculated formation energy, the calculation gives 827 meV per atom. The calculation puts the energy above the lowest structure with this stoichiometry at 2.03 eV/f.u.

The structure belongs to space group I-4m2 (No. 119); the cell edges are 5.413, 5.413 and 7.553 Å and the angles 90.00°, 90.00° and 90.00°. The inequivalent atoms are Ba at (0.000, 0.000, 0.000), Ba at (0.000, 0.500, 0.250), Mn at (0.000, 0.000, 0.500) and Co at (0.000, 0.500, 0.750).

=====

(17)
The following is a PBE calculation of a relaxed La2CuSiN crystal, from Alexandria.

The crystal system is tetragonal. The energy relative to the elements, uncorrected comes out at -664 meV per atom. The calculation puts the energy above the lowest structure with this stoichiometry at 0.76 eV/f.u.

The structure belongs to space group P4/mmm (No. 123); the cell edges are 5.188, 5.188 and 3.859 Å and the angles 90.00°, 90.00° and 90.00°. The inequivalent atoms are La at (0.000, 0.500, 0.000), Cu at (0.000, 0.000, 0.500), Si at (0.500, 0.500, 0.500) and N at (0.000, 0.000, 0.000).

=====

(18)
The following is a PBE calculation of a relaxed NaScAg crystal, from Alexandria.

The crystal system is tetragonal. For the calculated formation energy, the calculation gives -86 meV per atom.

The structure belongs to space group P4/nmm (No. 129, origin choice 2); the cell edges are 3.368, 3.368 and 12.896 Å and the angles 90.00°, 90.00° and 90.00°. The inequivalent atoms are Na at (0.250, 0.250, 0.118), Sc at (0.250, 0.250, 0.415) and Ag at (0.250, 0.250, 0.719).

=====

(19)
The following is a PBE calculation of a relaxed VGa2Mo crystal, from Alexandria.

The crystal system is trigonal. For the calculated formation energy, the calculation gives 16 meV per atom. The calculation puts the energy above the lowest structure with this stoichiometry at 0.27 eV/f.u.

The structure belongs to space group R-3m (No. 166, hexagonal axes); the cell edges are 2.8229, 2.8229 and 26.4068 Å and the angles 90.00°, 90.00° and 120.00°. The inequivalent atoms are V at (0.0000, 0.0000, 0.0000), Ga at (0.0000, 0.0000, 0.2515) and Mo at (0.0000, 0.0000, 0.5000).

=====

(20)
The following is a PBE calculation of a relaxed TaMnTc crystal, from Alexandria.

The crystal system is tetragonal. For the calculated formation energy, the calculation gives 13 meV per atom. The calculation puts the energy above the lowest structure with this stoichiometry at 0.03 eV/f.u.

The structure belongs to space group I4mm (No. 107); the cell edges are 2.840, 2.840 and 10.963 Å and the angles 90.00°, 90.00° and 90.00°. The inequivalent atoms are Ta at (0.000, 0.000, 0.000), Mn at (0.000, 0.000, 0.325) and Tc at (0.000, 0.000, 0.698).

=====

Number 1: DOS at the Fermi energy 3.79 states/eV/f.u.. Number 2: DOS at the Fermi energy 29.33 states/eV/f.u.. Number 3: DOS at the Fermi energy 16.50 states/eV/f.u.. Number 4: DOS at the Fermi energy 4.93 states/eV/f.u.. Number 5: DOS at the Fermi energy 1.05 states/eV/f.u.. Number 6: DOS at the Fermi energy 2.72 states/eV/f.u.. Number 7: DOS at the Fermi energy 2.59 states/eV/f.u.. Number 8: DOS at the Fermi energy 7.31 states/eV/f.u.. Number 9: DOS at the Fermi energy 5.75 states/eV/f.u.. Number 10: DOS at the Fermi energy 3.95 states/eV/f.u.. Number 11: DOS at the Fermi energy 3.36 states/eV/f.u.. Number 12: DOS at the Fermi energy 6.66 states/eV/f.u.. Number 13: DOS at the Fermi energy 6.68 states/eV/f.u.. Number 14: DOS at the Fermi energy 4.34 states/eV/f.u.. Number 15: DOS at the Fermi energy 10.58 states/eV/f.u.. Number 16: DOS at the Fermi energy 7.10 states/eV/f.u.. Number 17: DOS at the Fermi energy 1.01 states/eV/f.u.. Number 18: DOS at the Fermi energy 1.97 states/eV/f.u.. Number 19: DOS at the Fermi energy 3.36 states/eV/f.u.. Number 20: DOS at the Fermi energy 3.53 states/eV/f.u..